Below is crystalline MgFe2O4 at its relaxed geometry, with properties calculated at the PBE+U level.

a = 2.875 Å, b = 8.802 Å, c = 10.129 Å
α = 90.00°, β = 90.00°, γ = 90.00°
Site moments in Bohr magnetons follow the coordinates.
Fractional positions:
Fe  0.250  0.591  0.402  1.12
Fe  0.750  0.409  0.598  1.12
Mg  0.750  0.258  0.340  0.00
O  0.750  0.046  0.215  -0.05
O  0.750  0.409  0.928  -0.07
O  0.750  0.698  0.827  -0.05
Mg  0.750  0.758  0.160  0.00
Fe  0.250  0.055  0.617  1.10
Fe  0.250  0.091  0.098  1.12
O  0.750  0.120  0.962  -0.06
O  0.750  0.198  0.673  -0.05
O  0.250  0.454  0.715  -0.05
Fe  0.750  0.445  0.117  1.10
O  0.750  0.909  0.572  -0.07
O  0.250  0.091  0.428  -0.07
Fe  0.250  0.555  0.883  1.10
O  0.750  0.620  0.538  -0.06
Mg  0.250  0.242  0.840  0.00
O  0.250  0.880  0.038  -0.06
O  0.250  0.954  0.785  -0.05
Fe  0.750  0.945  0.383  1.10
Fe  0.750  0.909  0.902  1.12
O  0.750  0.546  0.285  -0.05
Mg  0.250  0.742  0.660  0.00
O  0.250  0.302  0.173  -0.05
O  0.250  0.802  0.327  -0.05
O  0.250  0.591  0.072  -0.07
O  0.250  0.380  0.462  -0.06

Output
final energy = -6.017 eV per atom
energy relative to the lowest polymorph listed for this composition = 0.4380 eV/atom
size of the total moment = 8.02 μB per cell
theoretical density = 5183 kg/m³